Record 1
Zn2IrOs, optimized geometry, DFT PBE; ΔH_f (0 K) = 0.672 eV per formula unit; symmetry = Imm2; Fermi-level density of states = 3.136 states/eV/cell
1.0
-1.450 2.186 4.511
1.450 -2.186 4.511
1.450 2.186 -4.511
Zn Ir Os
2 1 1
Direct
0.000 0.000 0.000
0.745 0.245 0.500
0.250 0.750 0.500
0.492 0.492 0.000

=====

Record 2
CsCo3Hg, optimized geometry, DFT PBE; ΔH_f (0 K) = 7.274 eV per formula unit; symmetry = Pm-3m; Fermi-level density of states = 13.278 states/eV/cell
1.0
5.101 0.000 0.000
0.000 5.101 0.000
0.000 0.000 5.101
Cs Co Hg
1 3 1
Direct
0.000 0.000 0.000
0.000 0.500 0.500
0.500 0.000 0.500
0.500 0.500 0.000
0.500 0.500 0.500

=====

Number 1: excess energy over the best structure of this formula in the dataset 155 meV per atom. Number 2: excess energy over the best structure of this formula in the dataset 0 meV per atom.